Compound: YAgSeBr2
Source: Alexandria
Functional: GGA-PBEsol
Structure: relaxed

Cell: 5.403 5.403 5.483 Å, 90.00 90.00 90.00°
Fractional positions:
Ag1 0.500 0.500 0.500
Br1 0.500 0.000 0.000
Br2 0.000 0.500 0.000
Y1 0.000 0.000 0.000
Se1 0.000 0.000 0.500

Symmetry = P4/mmm
N(E_F) = 0.162 states/eV/atom
Uncorrected formation energy = -0.76 eV/atom
Crystal system = tetragonal


Compound: Si2AgBr
Source: Alexandria
Functional: GGA-PBEsol
Structure: relaxed

Cell: 3.135 3.135 8.549 Å, 90.00 90.00 118.17°
Fractional positions:
Br1 0.500 0.500 0.000
Si1 0.000 0.000 0.257
Si2 0.000 0.000 0.743
Ag1 0.500 0.500 0.500

Symmetry = Cmmm
N(E_F) = 0.446 states/eV/atom
Uncorrected formation energy = 0.51 eV/atom
Energy above the most stable polymorph in this dataset = 212 meV per atom
Crystal system = orthorhombic


Compound: Si2AgBr
Source: Alexandria
Functional: GGA-PBEsol
Structure: relaxed

Cell: 3.768 3.735 6.048 Å, 105.06 108.15 90.00°
Fractional positions:
Br1 0.500 0.500 0.000
Si1 0.763 0.789 0.525
Si2 0.237 0.211 0.475
Ag1 0.000 0.000 0.000

Symmetry = C2/m
N(E_F) = 0.457 states/eV/atom
Uncorrected formation energy = 0.37 eV/atom
Energy above the most stable polymorph in this dataset = 76 meV per atom
Crystal system = monoclinic


Compound: SiAg2Br
Source: Alexandria
Functional: GGA-PBEsol
Structure: relaxed

Cell: 3.248 3.228 7.460 Å, 90.00 90.00 90.00°
Fractional positions:
Ag1 0.500 0.000 0.300
Ag2 0.500 0.000 0.700
Br1 0.500 0.500 0.000
Si1 0.000 0.500 0.500

Symmetry = Pmmm
N(E_F) = 0.525 states/eV/atom
Uncorrected formation energy = 0.18 eV/atom
Energy above the most stable polymorph in this dataset = 0 meV per atom
Crystal system = orthorhombic


Compound: Si2AgBr
Source: Alexandria
Functional: GGA-PBEsol
Structure: relaxed

Cell: 2.923 4.997 4.997 Å, 90.00 90.00 90.00°
Fractional positions:
Si1 0.000 0.000 0.500
Si2 0.000 0.500 0.000
Br1 0.500 0.000 0.000
Ag1 0.500 0.500 0.500

Symmetry = P4/mmm
N(E_F) = 0.484 states/eV/atom
Uncorrected formation energy = 0.58 eV/atom
Energy above the most stable polymorph in this dataset = 280 meV per atom
Crystal system = tetragonal


Compound: SiAg2Br
Source: Alexandria
Functional: GGA-PBEsol
Structure: relaxed

Cell: 3.268 4.003 6.725 Å, 107.32 104.06 90.00°
Fractional positions:
Ag1 0.765 0.265 0.530
Ag2 0.931 0.931 0.862
Si1 0.261 0.761 0.522
Br1 0.543 0.543 0.086

Symmetry = Imm2
N(E_F) = 0.372 states/eV/atom
Uncorrected formation energy = 0.21 eV/atom
Energy above the most stable polymorph in this dataset = 32 meV per atom
Crystal system = orthorhombic


Compound: Si2AgBr
Source: Alexandria
Functional: GGA-PBEsol
Structure: relaxed

Cell: 3.553 3.688 6.803 Å, 105.72 105.14 90.00°
Fractional positions:
Si1 0.840 0.340 0.680
Si2 0.953 0.953 0.907
Ag1 0.512 0.512 0.025
Br1 0.194 0.694 0.389

Symmetry = Imm2
N(E_F) = 0.294 states/eV/atom
Uncorrected formation energy = 0.30 eV/atom
Energy above the most stable polymorph in this dataset = 0 meV per atom
Crystal system = orthorhombic


Compound: SiAg2Br
Source: Alexandria
Functional: GGA-PBEsol
Structure: relaxed

Cell: 6.275 6.275 6.275 Å, 97.39 115.83 115.83°
Fractional positions:
Ag1 0.466 0.875 0.841
Ag2 0.966 0.591 0.125
Ag3 0.534 0.375 0.409
Ag4 0.034 0.159 0.625
Br1 0.000 0.000 0.000
Br2 0.500 0.750 0.250
Si1 0.500 0.250 0.750
Si2 0.000 0.500 0.500

Symmetry = I-42d
N(E_F) = 0.320 states/eV/atom
Uncorrected formation energy = 0.28 eV/atom
Energy above the most stable polymorph in this dataset = 99 meV per atom
Crystal system = tetragonal